## VOF (GGA+U)

Data for crystalline VOF at its relaxed geometry.

Summary:
Total DFT energy (no corrections) = -171.722 eV for the cell shown

a = 3.0989 Å, b = 4.7432 Å, c = 18.9913 Å
α = 87.49°, β = 90.00°, γ = 90.00°
With the nearest neighbours (Å) after each atom.
Positions (direct):
V (0.0000, 0.9588, 0.2497)  2 O 1.93, 4 F 2.07
V (0.0000, 0.0000, 0.0000)  4 O 2.02, 2 F 2.11
V (0.0000, 0.0000, 0.5000)  2 O 1.93, 4 F 2.07
V (0.0000, 0.0412, 0.7503)  2 O 1.93, 4 F 2.07
V (0.5000, 0.4219, 0.1252)  3 O 1.89-1.98
V (0.5000, 0.5781, 0.8748)  3 O 1.89-1.98
V (0.5000, 0.4792, 0.3749)  4 O 2.01, 2 F 2.13
V (0.5000, 0.5208, 0.6251)  4 O 2.01, 2 F 2.13
O (0.5000, 0.8148, 0.9522)  3 V 1.89-2.02
O (0.0000, 0.7488, 0.8243)  3 V 1.93-1.98
O (0.0000, 0.7121, 0.5749)  3 V 1.93-2.01
O (0.0000, 0.6699, 0.3246)  3 V 1.93-2.01
O (0.0000, 0.2512, 0.1757)  3 V 1.93-1.98
O (0.0000, 0.2879, 0.4251)  3 V 1.93-2.01
O (0.0000, 0.3301, 0.6754)  3 V 1.93-2.01
O (0.5000, 0.1852, 0.0478)  3 V 1.89-2.02
F (0.5000, 0.7570, 0.2000)  3 V 2.07-2.18
F (0.5000, 0.7962, 0.4510)  3 V 2.07-2.13
F (0.5000, 0.8383, 0.7011)  3 V 2.07-2.13
F (0.0000, 0.6770, 0.0797)  3 V 2.11-2.13
F (0.0000, 0.3230, 0.9203)  3 V 2.11-2.13
F (0.5000, 0.1617, 0.2989)  3 V 2.07-2.13
F (0.5000, 0.2038, 0.5490)  3 V 2.07-2.13
F (0.5000, 0.2430, 0.8000)  3 V 2.07-2.18